Entry 1:
DFT (GGA-PBE) results for crystalline Na2PrRhO4 at its relaxed geometry.

Properties
* VASP energy: -48.631 eV per cell

a b c (Å): 5.5221 3.4157 6.0035
angles (deg): 90.00 109.06 90.00
With the nearest neighbours (Å) after each atom.
Fractional coordinates of all 8 atoms:
Na: 0.0000 0.0000 0.0000  6 O 2.51-2.63
Na: 0.5000 0.5000 0.0000  6 O 2.35-2.42
Pr: 0.0000 0.5000 0.5000  6 O 2.37-2.39
Rh: 0.5000 0.0000 0.5000  6 O 2.18-2.19
O: 0.2635 0.0000 0.7298  1 Rh 2.19, 2 Pr 2.37, 2 Na 2.42
O: 0.3039 0.5000 0.2934  2 Rh 2.18, 1 Na 2.35, 1 Pr 2.39
O: 0.6961 0.5000 0.7066  2 Rh 2.18, 1 Na 2.35, 1 Pr 2.39
O: 0.7365 0.0000 0.2702  1 Rh 2.19, 2 Pr 2.37, 2 Na 2.42

Entry 2:
DFT (GGA-PBE) results for crystalline NaAlH4 at its relaxed geometry.

Properties
* VASP energy: -19.135 eV per cell

a b c (Å): 4.7133 4.7133 2.8698
angles (deg): 90.00 90.00 93.13
With the nearest neighbours (Å) after each atom.
Fractional coordinates of all 6 atoms:
Na: 0.0000 0.0000 0.0000  6 H 2.14-2.29
Al: 0.5000 0.5000 0.5000  6 H 1.65-1.83
H: 0.2449 0.2449 0.5000  1 Al 1.65
H: 0.3346 0.6654 0.0000  2 Al 1.83
H: 0.6654 0.3346 0.0000  2 Al 1.83
H: 0.7551 0.7551 0.5000  1 Al 1.65

Entry 3:
DFT (GGA-PBE) results for crystalline CaAlPt at its relaxed geometry.

Properties
* formation enthalpy at 0 K: -2.6 eV per formula unit

a b c (Å): 4.2609 4.2609 4.2826
angles (deg): 90.00 90.00 120.00
With the nearest neighbours (Å) after each atom.
Fractional coordinates of all 3 atoms:
Ca: 0.0000 0.0000 0.0000  6 Pt 3.26, 6 Al 3.26
Al: 0.3333 0.6667 0.5000  3 Pt 2.46
Pt: 0.6667 0.3333 0.5000  3 Al 2.46

Entry 4:
DFT (GGA-PBE) results for crystalline YRe2Pt at its relaxed geometry.

Properties
* formation enthalpy at 0 K: 2.4 eV per formula unit
* E above lowest polymorph: 730.1 meV per atom

a b c (Å): 4.6105 4.6105 4.6105
angles (deg): 60.00 60.00 60.00
With the nearest neighbours (Å) after each atom.
Fractional coordinates of all 4 atoms:
Y: 0.0000 0.0000 0.0000  8 Re 2.82
Re: 0.2500 0.2500 0.2500  4 Pt 2.82, 4 Y 2.82
Re: 0.7500 0.7500 0.7500  4 Pt 2.82, 4 Y 2.82
Pt: 0.5000 0.5000 0.5000  8 Re 2.82

Entry 5:
DFT (GGA-PBE) results for crystalline Ho6Tl6Sb at its relaxed geometry.

Properties
* VASP energy: -48.677 eV per cell

a b c (Å): 6.4989 6.4989 10.3049
angles (deg): 90.00 90.00 120.00
With the nearest neighbours (Å) after each atom.
Fractional coordinates of all 13 atoms:
Ho: 0.0000 0.0000 0.2057  1 Sb 3.03, 6 Tl 3.28
Ho: 0.0000 0.0000 0.7943  1 Sb 3.03, 6 Tl 3.28
Ho: 0.3333 0.6667 0.0000  6 Tl 3.17
Ho: 0.3333 0.6667 0.5000  6 Tl 3.21
Ho: 0.6667 0.3333 0.0000  6 Tl 3.17
Ho: 0.6667 0.3333 0.5000  6 Tl 3.21
Tl: 0.0000 0.5000 0.2475  6 Ho 3.17-3.28, 4 Tl 3.25
Tl: 0.0000 0.5000 0.7525  6 Ho 3.17-3.28, 4 Tl 3.25
Tl: 0.5000 0.0000 0.2475  6 Ho 3.17-3.28, 4 Tl 3.25
Tl: 0.5000 0.0000 0.7525  6 Ho 3.17-3.28, 4 Tl 3.25
Tl: 0.5000 0.5000 0.2475  6 Ho 3.17-3.28, 4 Tl 3.25
Tl: 0.5000 0.5000 0.7525  6 Ho 3.17-3.28, 4 Tl 3.25
Sb: 0.0000 0.0000 0.5000  2 Ho 3.03

Entry 6:
DFT (GGA-PBE) results for crystalline Ca3YRh at its relaxed geometry.

Properties
* formation enthalpy at 0 K: -0.2 eV per formula unit
* E above lowest polymorph: 0.0 meV per atom

a b c (Å): 5.5032 5.5032 5.5032
angles (deg): 90.00 90.00 90.00
With the nearest neighbours (Å) after each atom.
Fractional coordinates of all 5 atoms:
Ca: 0.0000 0.0000 0.5000  2 Rh 2.75
Ca: 0.0000 0.5000 0.0000  2 Rh 2.75
Ca: 0.5000 0.0000 0.0000  2 Rh 2.75
Y: 0.5000 0.5000 0.5000  12 Ca 3.89
Rh: 0.0000 0.0000 0.0000  6 Ca 2.75

Entry 7:
DFT (GGA-PBE) results for crystalline RbSn2Bi at its relaxed geometry.

Properties
* formation enthalpy at 0 K: -0.4 eV per formula unit

a b c (Å): 7.0787 7.0787 8.0679
angles (deg): 90.00 90.00 134.84
With the nearest neighbours (Å) after each atom.
Fractional coordinates of all 8 atoms:
Rb: 0.1031 0.8969 0.7500  6 Sn 3.71-4.03, 3 Bi 3.77-3.88
Rb: 0.8969 0.1031 0.2500  6 Sn 3.71-4.03, 3 Bi 3.77-3.88
Sn: 0.3889 0.6111 0.5626  2 Sn 3.02-3.07, 2 Bi 3.26
Sn: 0.3889 0.6111 0.9374  2 Sn 3.02-3.07, 2 Bi 3.26
Sn: 0.6111 0.3889 0.0626  2 Sn 3.02-3.07, 2 Bi 3.26
Sn: 0.6111 0.3889 0.4374  2 Sn 3.02-3.07, 2 Bi 3.26
Bi: 0.1854 0.8146 0.2500  4 Sn 3.26
Bi: 0.8146 0.1854 0.7500  4 Sn 3.26

Entry 8:
DFT (GGA-PBE) results for crystalline Na2ZnCd5 at its relaxed geometry.

Properties
* formation enthalpy at 0 K: -0.2 eV per formula unit

a b c (Å): 6.3228 6.3228 6.3877
angles (deg): 119.79 119.79 60.70
With the nearest neighbours (Å) after each atom.
Fractional coordinates of all 8 atoms:
Na: 0.0000 0.0000 0.0000  10 Cd 3.16-3.20, 2 Zn 3.19
Na: 0.4999 0.4999 0.4989  10 Cd 3.16-3.19, 2 Zn 3.19-3.20
Zn: 0.4996 0.4996 0.9987  8 Cd 3.16-3.19, 4 Na 3.19-3.20
Cd: 0.0002 0.0002 0.5000  8 Cd 3.16-3.19, 4 Na 3.19-3.20
Cd: 0.9995 0.5000 0.9995  2 Zn 3.16, 4 Na 3.16-3.19, 6 Cd 3.19-3.20
Cd: 0.0002 0.5003 0.4998  6 Cd 3.16-3.20, 4 Na 3.16-3.19, 2 Zn 3.18-3.19
Cd: 0.5000 0.9995 0.9995  2 Zn 3.16, 4 Na 3.16-3.19, 6 Cd 3.19-3.20
Cd: 0.5003 0.0002 0.4998  6 Cd 3.16-3.20, 4 Na 3.16-3.19, 2 Zn 3.18-3.19

Entry 9:
DFT (GGA-PBE) results for crystalline Re2TeAs at its relaxed geometry.

Properties
* E above lowest polymorph: 731.6 meV per atom

a b c (Å): 3.0055 3.0055 8.8737
angles (deg): 90.00 90.00 118.12
With the nearest neighbours (Å) after each atom.
Fractional coordinates of all 4 atoms:
Re: 0.0000 0.0000 0.2183  2 As 2.48
Re: 0.0000 0.0000 0.7817  2 As 2.48
Te: 0.5000 0.5000 0.5000  4 Re 2.94, 6 Te 3.01-3.09
As: 0.5000 0.5000 0.0000  4 Re 2.48

Entry 10:
DFT (GGA-PBE) results for crystalline PrHoSnPt at its relaxed geometry.

Properties
* formation enthalpy at 0 K: -3.2 eV per formula unit

a b c (Å): 5.2446 5.2446 5.2446
angles (deg): 60.00 60.00 60.00
With the nearest neighbours (Å) after each atom.
Fractional coordinates of all 4 atoms:
Pr: 0.0000 0.0000 0.0000  4 Pt 3.21, 4 Sn 3.21
Ho: 0.5000 0.5000 0.5000  4 Pt 3.21, 4 Sn 3.21
Sn: 0.2500 0.2500 0.2500  4 Ho 3.21, 4 Pr 3.21
Pt: 0.7500 0.7500 0.7500  4 Pr 3.21, 4 Ho 3.21

Theoretical density across the listed records, respectively: 5.5, 1.4, 6.5, 15.7, 10.3, 3.1, 6.2, 6.1, 13.5, 10.1 g/cm3.